Entry 1:
Computed, not measured: a crystal of Ca2Mg3Zn4 relaxed with PBEsol at the SCAN level of DFT.

extended XYZ file:
```
9
Lattice="4.258 0.000 0.000 0.000 5.788 0.118 -2.129 -1.732 7.899" Properties=species:S:1:pos:R:3 pbc="T T T"
Zn 2.129 2.707 3.751
Zn 2.129 1.676 0.107
Zn 0.000 2.381 7.910
Zn 0.000 1.350 4.267
Mg 0.000 2.852 1.746
Mg 2.129 1.205 6.271
Mg 0.000 0.000 0.000
Ca 0.000 4.214 5.408
Ca 2.129 -0.157 2.610
```

Crystal system = monoclinic
ΔE_f = -0.188 eV/atom
Mass density = 3.52 g/cm3

Entry 2:
Computed, not measured: a crystal of Li3TiS3 relaxed with PBEsol at the SCAN level of DFT.

extended XYZ file:
```
14
Lattice="5.861 0.023 0.000 -1.978 6.459 0.000 -1.942 -3.241 5.605" Properties=species:S:1:pos:R:3 pbc="T T T"
S 2.425 4.739 1.004
S 0.476 3.235 3.599
S 1.465 0.006 2.006
S -2.447 1.487 4.601
S -0.483 -1.498 4.601
S 4.389 1.753 1.004
Li 2.434 2.134 2.510
Li -0.492 1.106 3.096
Li 0.476 3.235 0.585
Li 3.423 -1.095 3.096
Li -1.481 4.335 2.510
Li 1.465 0.006 5.020
Ti 2.931 0.011 0.000
Ti 0.000 0.000 0.000
```

Raw formation energy = -1.49 eV per atom
Crystal system = trigonal
Mass density = 2.58 g/cm3

Entry 3:
Computed, not measured: a crystal of CdPb2 relaxed with PBEsol at the SCAN level of DFT.

extended XYZ file:
```
3
Lattice="3.324 0.000 0.000 0.000 5.352 0.000 0.000 -2.676 4.635" Properties=species:S:1:pos:R:3 pbc="T T T"
Pb 2.451 2.676 1.545
Pb 0.873 0.000 3.090
Cd 0.000 0.000 0.000
```

Crystal system = trigonal
ΔE_f = 0.079 eV/atom
Energy relative to the lowest polymorph listed for this composition = 5.3 kJ per mole of atoms
Mass density = 10.61 g/cm3

Entry 4:
Computed, not measured: a crystal of CaTi4P6O24 relaxed with PBEsol at the SCAN level of DFT.

extended XYZ file:
```
35
Lattice="-6.115 1.355 5.692 -3.239 -6.492 4.357 1.932 -0.746 8.544" Properties=species:S:1:pos:R:3 pbc="T T T"
O -4.886 -4.802 7.901
O -5.561 -5.148 15.820
O -0.448 -2.775 5.290
O -7.041 -5.796 13.868
O 0.046 -2.132 7.987
O -3.160 -3.576 11.762
O -4.318 0.207 6.806
O -3.805 -0.966 4.705
O -2.134 -1.052 6.608
O -7.468 -3.751 10.605
O -1.861 -0.735 2.773
O -3.617 -4.917 13.888
O -4.262 -2.307 6.830
O -6.233 -2.529 8.787
O -4.952 -2.680 14.769
O -1.189 -3.354 9.806
O -2.535 -1.081 10.691
O -5.288 -4.831 11.984
O -4.401 0.101 11.894
O -3.104 -6.090 11.786
O -0.381 -0.087 4.725
O -2.470 -3.203 3.824
O -6.974 -3.108 13.302
O -3.021 -5.984 6.698
Ti -1.586 -2.535 11.483
Ti -7.118 -4.709 12.348
Ti -5.836 -3.348 7.110
Ti -0.303 -1.174 6.245
P -4.182 -6.150 7.708
P -3.629 -1.050 6.222
P -7.215 -2.370 9.954
P -0.207 -3.513 8.639
P -3.240 0.267 10.884
P -3.793 -4.833 12.371
Ca 0.000 0.000 0.000
```

Raw formation energy = -2.90 eV per atom
Crystal system = trigonal
Mass density = 2.94 g/cm3

Entry 5:
Computed, not measured: a crystal of MnAg2Ir relaxed with PBEsol at the SCAN level of DFT.

extended XYZ file:
```
4
Lattice="4.008 0.000 0.000 0.000 4.008 0.000 -2.004 -2.004 3.743" Properties=species:S:1:pos:R:3 pbc="T T T"
Ir 2.004 2.004 0.000
Ag 0.000 0.000 0.000
Ag 2.004 0.000 1.871
Mn 0.000 2.004 1.871
```

Crystal system = tetragonal
ΔE_f = 0.118 eV/atom
Energy relative to the lowest polymorph listed for this composition = 9.2 kJ per mole of atoms
Mass density = 12.78 g/cm3

Entry 6:
Computed, not measured: a crystal of PbS2BrCl relaxed with PBEsol at the SCAN level of DFT.

extended XYZ file:
```
5
Lattice="-2.780 -0.423 -4.352 -3.121 -3.511 2.334 -3.140 3.873 1.629" Properties=species:S:1:pos:R:3 pbc="T T T"
S -1.560 -1.756 1.167
S -1.570 1.937 0.815
Cl -1.390 -0.211 -2.176
Br -4.520 -0.030 -0.194
Pb 0.000 0.000 0.000
```

Raw formation energy = 0.42 eV per atom
Crystal system = tetragonal
Mass density = 4.50 g/cm3

Entry 7:
Computed, not measured: a crystal of Sc2SbPt relaxed with PBEsol at the SCAN level of DFT.

extended XYZ file:
```
4
Lattice="3.832 0.000 0.000 0.000 4.080 0.000 -1.916 0.000 5.270" Properties=species:S:1:pos:R:3 pbc="T T T"
Sc 1.916 0.000 4.953
Sc 0.000 2.040 2.771
Sb 1.916 2.040 0.431
Pt 1.916 0.000 2.321
```

Raw formation energy = -1.20 eV per atom
Crystal system = orthorhombic
Mass density = 8.20 g/cm3

Entry 8:
Computed, not measured: a crystal of TlGaPb3 relaxed with PBEsol at the SCAN level of DFT.

extended XYZ file:
```
5
Lattice="5.768 0.000 0.000 0.000 5.768 0.000 0.000 0.000 5.768" Properties=species:S:1:pos:R:3 pbc="T T T"
Tl 0.000 0.000 0.000
Ga 2.884 2.884 2.884
Pb 0.000 2.884 0.000
Pb 0.000 0.000 2.884
Pb 2.884 0.000 0.000
```

Crystal system = cubic
ΔE_f = 0.698 eV/atom
Mass density = 7.75 g/cm3

Entry 9:
Computed, not measured: a crystal of Co2Ir relaxed with PBEsol at the SCAN level of DFT.

extended XYZ file:
```
3
Lattice="2.596 0.000 0.000 0.000 2.596 0.000 -1.298 -1.298 5.192" Properties=species:S:1:pos:R:3 pbc="T T T"
Co 0.000 0.000 3.392
Co 1.298 1.298 1.800
Ir 0.000 0.000 0.000
```

Crystal system = tetragonal
ΔE_f = 0.082 eV/atom
Energy relative to the lowest polymorph listed for this composition = 6.2 kJ per mole of atoms
Mass density = 14.72 g/cm3

Entry 10:
Computed, not measured: a crystal of La2BrClO2 relaxed with PBEsol at the SCAN level of DFT.

extended XYZ file:
```
6
Lattice="-0.739 1.665 -3.655 -3.921 -1.107 0.288 -1.524 6.219 3.141" Properties=species:S:1:pos:R:3 pbc="T T T"
La -0.250 1.020 0.515
La -3.591 5.424 0.915
Cl -0.978 3.990 2.015
Br -2.898 2.596 -0.513
O -3.481 5.649 3.277
O -1.890 7.035 1.305
```

Raw formation energy = -3.41 eV per atom
Crystal system = tetragonal
Mass density = 5.93 g/cm3

Entry 11:
Computed, not measured: a crystal of TiAgSn2 relaxed with PBEsol at the SCAN level of DFT.

extended XYZ file:
```
4
Lattice="4.854 0.000 0.000 2.427 4.204 0.000 2.427 1.401 3.963" Properties=species:S:1:pos:R:3 pbc="T T T"
Ti 0.000 0.000 0.000
Sn 7.281 4.204 2.972
Sn 2.427 1.401 0.991
Ag 4.854 2.802 1.982
```

Crystal system = cubic
ΔE_f = 0.137 eV/atom
Mass density = 8.07 g/cm3

Entry 12:
Computed, not measured: a crystal of YCdCl2 relaxed with PBEsol at the SCAN level of DFT.

extended XYZ file:
```
4
Lattice="3.606 0.000 0.000 -1.803 6.059 -0.085 0.000 -3.373 5.169" Properties=species:S:1:pos:R:3 pbc="T T T"
Cl 0.000 -3.106 5.071
Cl 1.803 3.061 1.308
Y 0.000 3.489 3.171
Cd 0.000 0.241 3.203
```

Raw formation energy = -1.44 eV per atom
Crystal system = monoclinic
Energy relative to the lowest polymorph listed for this composition = 0.0 kJ per mole of atoms
Mass density = 4.04 g/cm3

no.,raw total energy (eV/atom)
1,-10.000
2,-8.933
3,-60.580
4,-11.059
5,-37.904
6,-24.074
7,-35.181
8,-62.512
9,-35.154
10,-24.428
11,-29.673
12,-19.991